# 1
{"formula": "Sc3ZnCd", "functional": "PBE", "state": "optimized geometry", "lattice_angstrom": [[2.412, -9.242, 0.000], [2.412, 9.242, 0.000], [0.000, 0.000, 4.828]], "species": ["Sc", "Sc", "Sc", "Sc", "Sc", "Sc", "Zn", "Zn", "Cd", "Cd"], "fractional_positions": [[0.059, 0.941, 0.750], [0.250, 0.750, 0.750], [0.441, 0.559, 0.750], [0.559, 0.441, 0.250], [0.750, 0.250, 0.250], [0.941, 0.059, 0.250], [0.154, 0.846, 0.250], [0.846, 0.154, 0.750], [0.346, 0.654, 0.250], [0.654, 0.346, 0.750]], "formation_energy_ev_per_atom": -0.23, "total_magnetization_mub_per_fu": 1.3, "spacegroup": "Cmcm, No. 63", "de_polymorph_ev_per_atom": 0.000}

---

# 2
{"formula": "ScZnCd2", "functional": "PBE", "state": "optimized geometry", "lattice_angstrom": [[4.837, 0.000, 0.000], [0.000, 4.837, 0.000], [0.000, 0.000, 6.739]], "species": ["Sc", "Sc", "Zn", "Zn", "Cd", "Cd", "Cd", "Cd"], "fractional_positions": [[0.000, 0.000, 0.000], [0.500, 0.500, 0.500], [0.000, 0.500, 0.250], [0.500, 0.000, 0.750], [0.000, 0.000, 0.500], [0.000, 0.500, 0.750], [0.500, 0.000, 0.250], [0.500, 0.500, 0.000]], "formation_energy_ev_per_atom": -0.20, "total_magnetization_mub_per_fu": 0.0, "spacegroup": "I-4m2, No. 119"}

---

# 3
{"formula": "ScZnCd2", "functional": "PBE", "state": "optimized geometry", "lattice_angstrom": [[3.260, 0.000, 0.000], [-1.630, 2.823, 0.000], [0.000, 0.000, 27.973]], "species": ["Sc", "Sc", "Sc", "Zn", "Zn", "Zn", "Cd", "Cd", "Cd", "Cd", "Cd", "Cd"], "fractional_positions": [[0.000, 0.000, 0.000], [0.333, 0.667, 0.667], [0.667, 0.333, 0.333], [0.000, 0.000, 0.167], [0.333, 0.667, 0.833], [0.667, 0.333, 0.500], [0.000, 0.000, 0.579], [0.000, 0.000, 0.755], [0.333, 0.667, 0.245], [0.333, 0.667, 0.422], [0.667, 0.333, 0.089], [0.667, 0.333, 0.912]], "formation_energy_ev_per_atom": -0.01, "total_magnetization_mub_per_fu": 0.0, "spacegroup": "R3m, No. 160"}